(1)
! Ce2DyPa PBE-GGA optimized geometry; values from VASP
&SYSTEM
  ibrav = 0, nat = 4, ntyp = 3
/
ATOMIC_SPECIES
Ce 140.12 Ce.upf
Dy 162.50 Dy.upf
Pa 231.04 Pa.upf
CELL_PARAMETERS angstrom
1.9037 1.0991 9.7591
-1.9037 1.0991 9.7591
0.0000 -2.1982 9.7591
ATOMIC_POSITIONS crystal
Ce 0.1111 0.1111 0.1111
Ce 0.8889 0.8889 0.8889
Dy 0.0000 0.0000 0.0000
Pa 0.5000 0.5000 0.5000
! Total moment ... 0.024 μB per formula unit
! Space group ... R-3m
! Calculated volume ... 30.63 Å³ per atom
! Density ... 9.13 g/cm³
! ΔE_f ... 0.705 eV/atom

=====

(2)
! Pm3PrIr PBE-GGA optimized geometry; values from VASP
&SYSTEM
  ibrav = 0, nat = 5, ntyp = 3
/
ATOMIC_SPECIES
Pm 145.00 Pm.upf
Pr 140.91 Pr.upf
Ir 192.22 Ir.upf
CELL_PARAMETERS angstrom
5.6023 0.0000 0.0000
0.0000 5.6023 0.0000
0.0000 0.0000 5.6023
ATOMIC_POSITIONS crystal
Pm 0.0000 0.0000 0.5000
Pm 0.0000 0.5000 0.0000
Pm 0.5000 0.0000 0.0000
Pr 0.5000 0.5000 0.5000
Ir 0.0000 0.0000 0.0000
! Total moment ... 1.083 μB per formula unit
! Space group ... Pm-3m
! Calculated volume ... 35.17 Å³ per atom
! Density ... 7.25 g/cm³
! ΔE_f ... -0.189 eV/atom

=====

- The lowest ΔE_f belongs to which entry?
  Pm3PrIr